(1)
A plane-wave DFT calculation with PBE was carried out for an optimized crystal structure of Tl2CuGeO4.

Lattice parameters (Å, degrees): 5.436 11.861 19.408 90.00 90.00 90.00
Space group Fddd (No. 70, origin choice 2)
Inequivalent atoms, fractional coordinates:
Tl1 0.125 0.125 0.306 [16 per cell]
Cu1 0.125 0.125 0.125 [8 per cell]
Ge1 0.125 0.125 0.625 [8 per cell]
O1 0.103 0.277 0.843 [32 per cell]

Results
Energy relative to the elements, uncorrected: -0.880 eV per atom
Final energy: -322.5 eV per cell
M_tot: 0.96 μB per formula unit
Calculated density: 6.5 Mg/m³

***

(2)
A plane-wave DFT calculation with PBE was carried out for an optimized crystal structure of TlCuGeO2.

Lattice parameters (Å, degrees): 3.992 3.992 4.773 90.00 90.00 90.00
Space group P4/mmm (No. 123)
Inequivalent atoms, fractional coordinates:
Tl1 0.000 0.000 0.000 [1 per cell]
Cu1 0.500 0.500 0.500 [1 per cell]
Ge1 0.500 0.500 0.000 [1 per cell]
O1 0.000 0.500 0.500 [2 per cell]

Results
Energy relative to the elements, uncorrected: 0.097 eV per atom
Final energy: -20.5 eV per cell
M_tot: 0.09 μB per formula unit
Calculated density: 8.1 Mg/m³

***

Look up the M_tot of the second one.
0.09 μB per formula unit